(1)
{"formula": "Li2NbTeRh", "functional": "GGA-PBE", "state": "relaxed", "raw_formation_energy_ev_per_atom": 0.6737, "total_energy_ev_per_atom": -4.20, "magmom_total_mub_per_fu": 3.74, "cell": [[4.7179, 0.0000, 0.0000], [0.0000, 4.7179, 0.0000], [0.0000, 0.0000, 4.9967]], "species": ["Li", "Li", "Nb", "Te", "Rh"], "fractional_positions": [[0.0000, 0.5000, 0.0000], [0.5000, 0.0000, 0.0000], [0.0000, 0.0000, 0.5000], [0.5000, 0.5000, 0.0000], [0.5000, 0.5000, 0.5000]]}

(2)
{"formula": "LiBeAu2", "functional": "GGA-PBE", "state": "relaxed", "e_form_kj_per_mol_atoms": 1.0, "total_energy_ev_per_atom": -3.04, "magmom_total_mub_per_fu": 0.00, "cell": [[1.4536, 0.8392, 8.6421], [-1.4536, 0.8392, 8.6421], [0.0000, -1.6785, 8.6421]], "species": ["Li", "Be", "Au", "Au"], "fractional_positions": [[0.0000, 0.0000, 0.0000], [0.7505, 0.7505, 0.7505], [0.2505, 0.2505, 0.2505], [0.4833, 0.4833, 0.4833]]}

N(E_F) per entry: 1.2437 0.3727 states/eV per atom